Record 1
Computed, not measured: an optimized crystal structure of NdMg4Sc at the GGA-PBE level of DFT.

Cell lengths 5.1897, 5.1889, 8.3223 Å; angles 107.95, 71.83, 60.00 degrees
With the nearest neighbours (Å) after each atom.
Atoms (fractional coordinates):
Nd (0.5000, 0.5000, 0.5000)  2 Sc 3.26, 12 Mg 3.44
Mg (0.4256, 0.9085, 0.2404)  4 Mg 3.00-3.14
Mg (0.5744, 0.0915, 0.7596)  4 Mg 3.00-3.14
Mg (0.9084, 0.4241, 0.7590)  4 Mg 3.00-3.14
Mg (0.0916, 0.5759, 0.2410)  4 Mg 3.00-3.14
Sc (0.0000, 0.0000, 0.0000)  2 Nd 3.26, 12 Mg 3.37-3.39

Calculated values
Final energy   -2.9616 eV per atom
Calculated volume   25.379 A^3/atom
Relative energy among the computed polymorphs   0.000 eV per formula unit
Magnetization   0.00 μB per formula unit
ΔE_f   -1.122 kcal/mol of atoms

Record 2
Computed, not measured: an optimized crystal structure of Te2RhBr at the GGA-PBE level of DFT.

Cell lengths 3.3548, 6.9741, 4.5142 Å; angles 90.00, 90.00, 90.00 degrees
With the nearest neighbours (Å) after each atom.
Atoms (fractional coordinates):
Te (0.0000, 0.0000, 0.0000)  4 Br 2.81
Te (0.5000, 0.5000, 0.0000)  4 Rh 2.81
Rh (0.0000, 0.5000, 0.5000)  4 Te 2.81
Br (0.5000, 0.0000, 0.5000)  4 Te 2.81

Calculated values
Final energy   -3.3341 eV per atom
Calculated volume   26.404 A^3/atom
Magnetization   0.00 μB per formula unit
E_form (uncorrected)   492.9 meV/atom

Record 3
Computed, not measured: an optimized crystal structure of KBe2Ge at the GGA-PBE level of DFT.

Cell lengths 3.7743, 3.9466, 12.1099 Å; angles 96.78, 90.60, 90.00 degrees
With the nearest neighbours (Å) after each atom.
Atoms (fractional coordinates):
Be (0.7484, 0.0787, 0.4580)  6 Be 2.22-2.31, 3 Ge 2.38-2.42
Be (0.2516, 0.9213, 0.5420)  6 Be 2.22-2.31, 3 Ge 2.38-2.42
Be (0.7519, 0.5979, 0.5506)  6 Be 2.22-2.33, 2 Ge 2.31-2.38
Be (0.2481, 0.4021, 0.4494)  6 Be 2.22-2.33, 2 Ge 2.31-2.38
Ge (0.7551, 0.1255, 0.6555)  5 Be 2.31-2.42
Ge (0.2449, 0.8745, 0.3445)  5 Be 2.31-2.42
K (0.7393, 0.3241, 0.1828)  4 Ge 3.33-3.37, 3 Be 3.58-3.72
K (0.2607, 0.6759, 0.8172)  4 Ge 3.33-3.37, 3 Be 3.58-3.72

Calculated values
Final energy   -3.2076 eV per atom
Calculated volume   22.389 A^3/atom
Magnetization   0.00 μB per formula unit
ΔE_f   1.943 kcal/mol of atoms

Record 4
Computed, not measured: an optimized crystal structure of Cs2TlReBi at the GGA-PBE level of DFT.

Cell lengths 7.3836, 5.8113, 7.3836 Å; angles 90.00, 90.00, 90.00 degrees
With the nearest neighbours (Å) after each atom.
Atoms (fractional coordinates):
Cs (0.0000, 0.0000, 0.5000)  2 Tl 3.69
Cs (0.5000, 0.0000, 0.0000)  2 Tl 3.69
Re (0.5000, 0.5000, 0.5000)  8 Cs 4.70, 4 Bi 5.22
Tl (0.0000, 0.0000, 0.0000)  2 Bi 2.91
Bi (0.0000, 0.5000, 0.0000)  2 Tl 2.91

Calculated values
Final energy   -2.7513 eV per atom
Calculated volume   63.364 A^3/atom
Magnetization   4.59 μB per formula unit
ΔE_f   30.652 kcal/mol of atoms

Record 5
Computed, not measured: an optimized crystal structure of AlTc at the GGA-PBE level of DFT.

Cell lengths 7.6850, 7.6850, 4.3042 Å; angles 90.00, 90.00, 90.00 degrees
With the nearest neighbours (Å) after each atom.
Atoms (fractional coordinates):
Al (0.8494, 0.7990, 0.5000)  4 Tc 2.50-2.76, 4 Al 2.72-2.73
Al (0.1506, 0.2010, 0.5000)  4 Tc 2.50-2.76, 4 Al 2.72-2.73
Al (0.2010, 0.8494, 0.5000)  4 Tc 2.50-2.76, 4 Al 2.72-2.73
Al (0.7990, 0.1506, 0.5000)  4 Tc 2.50-2.76, 4 Al 2.72-2.73
Al (0.9740, 0.3249, 0.0000)  4 Tc 2.58-2.65, 5 Al 2.72-2.87
Al (0.0260, 0.6751, 0.0000)  4 Tc 2.58-2.65, 5 Al 2.72-2.87
Al (0.6751, 0.9740, 0.0000)  4 Tc 2.58-2.65, 5 Al 2.72-2.87
Al (0.3249, 0.0260, 0.0000)  4 Tc 2.58-2.65, 5 Al 2.72-2.87
Tc (0.8380, 0.4739, 0.5000)  4 Al 2.50-2.65, 3 Tc 2.52-2.73
Tc (0.1620, 0.5261, 0.5000)  4 Al 2.50-2.65, 3 Tc 2.52-2.73
Tc (0.5261, 0.8380, 0.5000)  4 Al 2.50-2.65, 3 Tc 2.52-2.73
Tc (0.4739, 0.1620, 0.5000)  4 Al 2.50-2.65, 3 Tc 2.52-2.73
Tc (0.6924, 0.6369, 0.0000)  4 Tc 2.57-2.73, 4 Al 2.58-2.76
Tc (0.3076, 0.3631, 0.0000)  4 Tc 2.57-2.73, 4 Al 2.58-2.76
Tc (0.3631, 0.6924, 0.0000)  4 Tc 2.57-2.73, 4 Al 2.58-2.76
Tc (0.6369, 0.3076, 0.0000)  4 Tc 2.57-2.73, 4 Al 2.58-2.76

Calculated values
Final energy   -7.0665 eV per atom
Calculated volume   15.888 A^3/atom
Relative energy among the computed polymorphs   0.801 eV per formula unit
Magnetization   0.00 μB per formula unit
ΔE_f   -0.281 kcal/mol of atoms

Record 6
Computed, not measured: an optimized crystal structure of Nb2VMo4 at the GGA-PBE level of DFT.

Cell lengths 4.3443, 4.5585, 6.2238 Å; angles 89.96, 90.00, 90.00 degrees
With the nearest neighbours (Å) after each atom.
Atoms (fractional coordinates):
Nb (0.5000, 0.3572, 0.6955)  5 Mo 2.71-3.00, 2 Nb 2.84
Nb (0.5000, 0.8571, 0.4236)  2 V 2.69, 4 Mo 2.71-2.75, 2 Nb 2.84
V (0.0000, 0.8568, 0.1690)  4 Mo 2.62-2.76, 2 Nb 2.69
Mo (0.5000, 0.8573, 0.9325)  2 V 2.62, 4 Mo 2.67-2.74, 2 Nb 2.71-2.72
Mo (0.0000, 0.3571, 0.4195)  4 Mo 2.64-2.81, 2 V 2.76, 2 Nb 2.77
Mo (0.5000, 0.3571, 0.1774)  4 Mo 2.64-2.74, 2 Nb 2.75
Mo (0.0000, 0.8573, 0.6827)  4 Mo 2.67-2.81, 2 Nb 2.71

Calculated values
Final energy   -10.0318 eV per atom
Calculated volume   17.607 A^3/atom
Relative energy among the computed polymorphs   1.384 eV per formula unit
Magnetization   0.00 μB per formula unit
ΔE_f   7.775 kcal/mol of atoms

Record 7
Computed, not measured: an optimized crystal structure of TbNd3Al at the GGA-PBE level of DFT.

Cell lengths 5.2613, 9.5549, 5.8043 Å; angles 145.39, 90.00, 90.00 degrees
With the nearest neighbours (Å) after each atom.
Atoms (fractional coordinates):
Tb (0.5000, 0.9082, 0.8165)  2 Al 3.01, 1 Nd 3.10
Nd (0.0000, 0.9763, 0.3221)  1 Al 3.02
Nd (0.0000, 0.3458, 0.3221)  1 Al 3.02
Nd (0.5000, 0.4381, 0.8762)  2 Al 3.10, 1 Tb 3.10
Al (0.0000, 0.6862, 0.3723)  2 Tb 3.01, 4 Nd 3.02-3.10

Calculated values
Final energy   -4.4515 eV per atom
Calculated volume   33.143 A^3/atom
Relative energy among the computed polymorphs   1.000 eV per formula unit
Magnetization   0.00 μB per formula unit
ΔE_f   1.931 kcal/mol of atoms

Record 8
Computed, not measured: an optimized crystal structure of MgGeRu3 at the GGA-PBE level of DFT.

Cell lengths 4.4666, 4.4666, 4.4666 Å; angles 90.00, 90.00, 90.00 degrees
With the nearest neighbours (Å) after each atom.
Atoms (fractional coordinates):
Ru (0.0000, 0.5000, 0.0000)  2 Mg 2.23
Ru (0.0000, 0.0000, 0.5000)  2 Mg 2.23
Ru (0.5000, 0.0000, 0.0000)  2 Mg 2.23
Ge (0.5000, 0.5000, 0.5000)  12 Ru 3.16
Mg (0.0000, 0.0000, 0.0000)  6 Ru 2.23

Calculated values
Final energy   -5.1666 eV per atom
Calculated volume   17.822 A^3/atom
Relative energy among the computed polymorphs   4.218 eV per formula unit
Magnetization   1.97 μB per formula unit
ΔE_f   37.849 kcal/mol of atoms

Q: Among the records above, which one has the lowest final energy?
A: Nb2VMo4